## one
## La2YPt2 (PBE)

Data for a relaxed structure of La2YPt2.

Cell and atoms, written as CIF:
```
data_La2YPt2
_symmetry_space_group_name_H-M 'I 4/m m m'
_symmetry_Int_Tables_number 139
_symmetry_space_group_name_Hall '-I 4 2'
_cell_length_a 4.847
_cell_length_b 4.847
_cell_length_c 12.049
_cell_angle_alpha 90.00
_cell_angle_beta 90.00
_cell_angle_gamma 90.00
loop_
_atom_site_label
_atom_site_fract_x
_atom_site_fract_y
_atom_site_fract_z
La1 0.000 0.500 0.250
Y1 0.000 0.000 0.000
Pt1 0.000 0.000 0.391
```

Values from the calculation:
- V (Å³ per atom) = 28.301

***

## two
## La2YPt2 (PBE)

Data for a relaxed structure of La2YPt2.

Cell and atoms, written as CIF:
```
data_La2YPt2
_symmetry_space_group_name_H-M 'I 4/m m m'
_symmetry_Int_Tables_number 139
_symmetry_space_group_name_Hall '-I 4 2'
_cell_length_a 5.431
_cell_length_b 5.431
_cell_length_c 10.354
_cell_angle_alpha 90.00
_cell_angle_beta 90.00
_cell_angle_gamma 90.00
loop_
_atom_site_label
_atom_site_fract_x
_atom_site_fract_y
_atom_site_fract_z
La1 0.000 0.000 0.171
Y1 0.000 0.000 0.500
Pt1 0.000 0.500 0.250
```

Values from the calculation:
- V (Å³ per atom) = 30.541

***

Most stable = one

***

## one
## LaZn4Pt (PBE)

Data for a relaxed structure of LaZn4Pt.

Cell and atoms, written as CIF:
```
data_LaZn4Pt
_symmetry_space_group_name_H-M 'P m m a'
_symmetry_Int_Tables_number 51
_cell_length_a 7.857
_cell_length_b 4.114
_cell_length_c 7.197
_cell_angle_alpha 90.00
_cell_angle_beta 90.00
_cell_angle_gamma 90.00
loop_
_symmetry_equiv_pos_as_xyz
'x,y,z'
'-x,-y,-z'
'-x+1/2,-y,z'
'x+1/2,y,-z'
'x+1/2,-y,-z'
'-x+1/2,y,z'
'-x,y,-z'
'x,-y,z'
loop_
_atom_site_label
_atom_site_fract_x
_atom_site_fract_y
_atom_site_fract_z
La1 0.250 0.000 0.117
Zn1 0.000 0.000 0.500
Zn2 0.054 0.500 0.801
Zn3 0.250 0.500 0.455
Pt1 0.250 0.000 0.711
```

Values from the calculation:
- V (Å³ per atom) = 19.388

***

## two
## LaZn4Pt (PBE)

Data for a relaxed structure of LaZn4Pt.

Cell and atoms, written as CIF:
```
data_LaZn4Pt
_symmetry_space_group_name_H-M 'F -4 3 m'
_symmetry_Int_Tables_number 216
_symmetry_space_group_name_Hall 'F -4 2 3'
_cell_length_a 7.549
_cell_length_b 7.549
_cell_length_c 7.549
_cell_angle_alpha 90.00
_cell_angle_beta 90.00
_cell_angle_gamma 90.00
loop_
_atom_site_label
_atom_site_fract_x
_atom_site_fract_y
_atom_site_fract_z
La1 0.000 0.000 0.000
Zn1 0.123 0.123 0.377
Pt1 0.250 0.250 0.750
```

Values from the calculation:
- V (Å³ per atom) = 17.922

***

Most stable = one

***

## one
## LaZn2Pt2 (PBE)

Data for a relaxed structure of LaZn2Pt2.

Cell and atoms, written as CIF:
```
data_LaZn2Pt2
_symmetry_space_group_name_H-M 'P 4/m m m'
_symmetry_Int_Tables_number 123
_symmetry_space_group_name_Hall '-P 4 2'
_cell_length_a 4.191
_cell_length_b 4.191
_cell_length_c 5.697
_cell_angle_alpha 90.00
_cell_angle_beta 90.00
_cell_angle_gamma 90.00
loop_
_atom_site_label
_atom_site_fract_x
_atom_site_fract_y
_atom_site_fract_z
La1 0.000 0.000 0.000
Zn1 0.000 0.500 0.500
Pt1 0.500 0.500 0.234
```

Values from the calculation:
- V (Å³ per atom) = 20.011

***

## two
## LaZn2Pt2 (PBE)

Data for a relaxed structure of LaZn2Pt2.

Cell and atoms, written as CIF:
```
data_LaZn2Pt2
_symmetry_space_group_name_H-M 'P 4/m b m'
_symmetry_Int_Tables_number 127
_symmetry_space_group_name_Hall '-P 4 2ab'
_cell_length_a 7.832
_cell_length_b 7.832
_cell_length_c 2.927
_cell_angle_alpha 90.00
_cell_angle_beta 90.00
_cell_angle_gamma 90.00
loop_
_atom_site_label
_atom_site_fract_x
_atom_site_fract_y
_atom_site_fract_z
La1 0.000 0.000 0.000
Zn1 0.115 0.385 0.000
Pt1 0.180 0.680 0.500
```

Values from the calculation:
- V (Å³ per atom) = 17.952

***

Most stable = one

***

## one
## La3ZnPt (PBE)

Data for a relaxed structure of La3ZnPt.

Cell and atoms, written as CIF:
```
data_La3ZnPt
_symmetry_space_group_name_H-M 'P m -3 m'
_symmetry_Int_Tables_number 221
_symmetry_space_group_name_Hall '-P 4 2 3'
_cell_length_a 5.681
_cell_length_b 5.681
_cell_length_c 5.681
_cell_angle_alpha 90.00
_cell_angle_beta 90.00
_cell_angle_gamma 90.00
loop_
_atom_site_label
_atom_site_fract_x
_atom_site_fract_y
_atom_site_fract_z
La1 0.000 0.000 0.500
Zn1 0.500 0.500 0.500
Pt1 0.000 0.000 0.000
```

Values from the calculation:
- V (Å³ per atom) = 36.662

***

## two
## La3ZnPt (PBE)

Data for a relaxed structure of La3ZnPt.

Cell and atoms, written as CIF:
```
data_La3ZnPt
_symmetry_space_group_name_H-M 'P 1'
_symmetry_Int_Tables_number 1
_cell_length_a 6.061
_cell_length_b 6.228
_cell_length_c 8.289
_cell_angle_alpha 95.73
_cell_angle_beta 93.97
_cell_angle_gamma 110.54
loop_
_symmetry_equiv_pos_as_xyz
'x,y,z'
loop_
_atom_site_label
_atom_site_fract_x
_atom_site_fract_y
_atom_site_fract_z
La1 0.000 0.000 0.000
La2 0.014 0.742 0.369
La3 0.273 0.624 0.808
La4 0.375 0.349 0.390
La5 0.630 0.344 0.994
La6 0.738 0.078 0.597
Zn1 0.501 0.834 0.189
Zn2 0.766 0.610 0.694
Pt1 0.248 0.085 0.691
Pt2 0.859 0.240 0.285
```

Values from the calculation:
- V (Å³ per atom) = 28.970

***

Most stable = two